PBE with a Hubbard U Sr2TcMoO6, relaxed; crystal system = monoclinic; DFT total energy = -7.205 eV per atom; theoretical density = 5.85 g/cm3; total magnetization = 5.0 μB per formula unit; density of states at the Fermi level = 1.4 states/eV/f.u.
1.0
5.691 0.000 0.000
0.000 5.783 0.000
-5.664 0.000 8.029
Sr Tc Mo O
4 2 2 12
direct
0.243 0.031 0.250 Sr
0.243 0.469 0.750 Sr
0.757 0.531 0.250 Sr
0.757 0.969 0.750 Sr
0.500 0.000 0.000 Tc
0.500 0.500 0.500 Tc
0.000 0.000 0.500 Mo
0.000 0.500 0.000 Mo
0.182 0.207 0.966 O
0.182 0.293 0.466 O
0.253 0.717 0.966 O
0.253 0.783 0.466 O
0.318 0.021 0.751 O
0.318 0.479 0.251 O
0.682 0.521 0.749 O
0.682 0.979 0.249 O
0.747 0.217 0.534 O
0.747 0.283 0.034 O
0.818 0.707 0.534 O
0.818 0.793 0.034 O